An optimized crystal structure of SrPrNiBiO6. Source: the Alexandria database, functional GGA+U.

```
SrPrNiBiO6
1.0
0.000 4.089 4.089
4.089 0.000 4.089
4.089 4.089 0.000
Sr Pr Ni Bi O
1 1 1 1 6
Direct
0.000 0.000 0.000
0.500 0.500 0.500
0.250 0.250 0.250
0.750 0.750 0.750
0.004 0.004 0.496
0.004 0.496 0.004
0.004 0.496 0.496
0.496 0.004 0.004
0.496 0.004 0.496
0.496 0.496 0.004
```

Properties
The total energy is -0.4463 Ry per atom. The total magnetization is 0.20 μB/atom.